# 1
{
  "formula": "Th2ZnCo3Ge4",
  "functional": "PBE",
  "state": "relaxed",
  "sg": "No. 115",
  "crystal_system": "tetragonal",
  "ef_mev_per_atom": -569,
  "cell": [[4.161, 0.000, 0.000], [0.000, 4.161, 0.000], [0.000, 0.000, 9.918]],
  "species": ["Th", "Th", "Zn", "Co", "Co", "Co", "Ge", "Ge", "Ge", "Ge"],
  "fractional_positions": [[0.000, 0.500, 0.243], [0.500, 0.000, 0.757], [0.000, 0.000, 0.500], [0.000, 0.500, 0.880], [0.500, 0.000, 0.120], [0.500, 0.500, 0.500], [0.000, 0.000, 0.000], [0.000, 0.500, 0.642], [0.500, 0.000, 0.358], [0.500, 0.500, 0.000]]
}


# 2
{
  "formula": "Ti2CoGe4",
  "functional": "PBE",
  "state": "relaxed",
  "sg": "No. 139",
  "crystal_system": "tetragonal",
  "ef_mev_per_atom": 104,
  "cell": [[-2.282, 2.282, 6.257], [2.282, -2.282, 6.257], [2.282, 2.282, -6.257]],
  "species": ["Ti", "Ti", "Co", "Ge", "Ge", "Ge", "Ge"],
  "fractional_positions": [[0.108, 0.108, 0.000], [0.892, 0.892, 0.000], [0.500, 0.500, 0.000], [0.000, 0.500, 0.500], [0.313, 0.313, 0.000], [0.500, 0.000, 0.500], [0.687, 0.687, 0.000]]
}


# 3
{
  "formula": "TiCoGe3",
  "functional": "PBE",
  "state": "relaxed",
  "sg": "No. 221",
  "crystal_system": "cubic",
  "ef_mev_per_atom": 419,
  "cell": [[4.505, 0.000, 0.000], [0.000, 4.505, 0.000], [0.000, 0.000, 4.505]],
  "species": ["Ti", "Co", "Ge", "Ge", "Ge"],
  "fractional_positions": [[0.000, 0.000, 0.000], [0.500, 0.500, 0.500], [0.000, 0.500, 0.500], [0.500, 0.000, 0.500], [0.500, 0.500, 0.000]]
}


# 4
{
  "formula": "Ti3Co2Ge3",
  "functional": "PBE",
  "state": "relaxed",
  "sg": "No. 62",
  "crystal_system": "orthorhombic",
  "ef_mev_per_atom": -522,
  "cell": [[7.235, 0.000, 0.000], [0.000, 12.889, 0.000], [0.000, 0.000, 5.040]],
  "species": ["Ti", "Ti", "Ti", "Ti", "Ti", "Ti", "Ti", "Ti", "Ti", "Ti", "Ti", "Ti", "Co", "Co", "Co", "Co", "Co", "Co", "Co", "Co", "Ge", "Ge", "Ge", "Ge", "Ge", "Ge", "Ge", "Ge", "Ge", "Ge", "Ge", "Ge"],
  "fractional_positions": [[0.036, 0.112, 0.110], [0.036, 0.388, 0.110], [0.175, 0.250, 0.640], [0.325, 0.750, 0.140], [0.464, 0.612, 0.610], [0.464, 0.888, 0.610], [0.536, 0.112, 0.390], [0.536, 0.388, 0.390], [0.675, 0.250, 0.860], [0.825, 0.750, 0.360], [0.964, 0.612, 0.890], [0.964, 0.888, 0.890], [0.088, 0.612, 0.376], [0.088, 0.888, 0.376], [0.412, 0.112, 0.876], [0.412, 0.388, 0.876], [0.588, 0.612, 0.124], [0.588, 0.888, 0.124], [0.912, 0.112, 0.624], [0.912, 0.388, 0.624], [0.183, 0.750, 0.644], [0.199, 0.039, 0.598], [0.199, 0.461, 0.598], [0.301, 0.539, 0.098], [0.301, 0.961, 0.098], [0.317, 0.250, 0.144], [0.683, 0.750, 0.856], [0.699, 0.039, 0.902], [0.699, 0.461, 0.902], [0.801, 0.539, 0.402], [0.801, 0.961, 0.402], [0.817, 0.250, 0.356]]
}